{"formula": "AcSiHRh", "functional": "PBE-GGA", "state": "optimized geometry", "magnetic_moment_mub_per_cell": 0.0, "space_group": "P4/nmm, No. 129", "dft_energy_ev_per_cell": -47.39, "crystal_system": "tetragonal", "lattice": [[4.150, 0.000, 0.000], [0.000, 4.150, 0.000], [0.000, 0.000, 8.516]], "species": ["Ac", "Ac", "Si", "Si", "H", "H", "Rh", "Rh"], "fractional_positions": [[0.500, 0.000, 0.674], [0.000, 0.500, 0.326], [0.000, 0.500, 0.855], [0.500, 0.000, 0.145], [0.000, 0.000, 0.500], [0.500, 0.500, 0.500], [0.500, 0.500, 0.000], [0.000, 0.000, 0.000]]}